Version one
The following is a PBE-GGA calculation of TlZn2Ni after structural relaxation, from the Alexandria database.

Unit cell a=3.9973 b=3.9973 c=18.2853 alpha=90.00 beta=90.00 gamma=90.00
Last column: nearest neighbours and their distance in Å.
Space group I-42d (No. 122)
Asymmetric unit:
Tl 0.0000 0.0000 0.0000 [4 per cell]  4 Zn 2.79, 4 Ni 2.83
Zn 0.1893 0.2500 0.6250 [8 per cell]  2 Zn 2.51, 2 Ni 2.61, 2 Tl 2.79
Ni 0.0000 0.0000 0.5000 [4 per cell]  4 Zn 2.61, 4 Tl 2.83

Version two
The following is a PBE-GGA calculation of TlZn2Ni after structural relaxation, from the Alexandria database.

Unit cell a=4.0269 b=4.0320 c=7.9612 alpha=90.00 beta=90.00 gamma=90.00
Last column: nearest neighbours and their distance in Å.
Space group Imm2 (No. 44)
Asymmetric unit:
Tl 0.0000 0.0000 0.0000 [2 per cell]  8 Zn 2.83-2.85, 4 Ni 2.83
Zn 0.0000 0.0000 0.5005 [2 per cell]  4 Ni 2.83-2.84, 4 Zn 2.83, 4 Tl 2.85
Zn 0.0000 0.5000 0.7503 [2 per cell]  4 Tl 2.83, 4 Zn 2.83, 4 Ni 2.85
Ni 0.0000 0.5000 0.2498 [2 per cell]  8 Zn 2.83-2.85, 4 Tl 2.83

Version three
The following is a PBE-GGA calculation of TlZn2Ni after structural relaxation, from the Alexandria database.

Unit cell a=2.9176 b=4.4867 c=10.4540 alpha=90.00 beta=90.00 gamma=90.00
Last column: nearest neighbours and their distance in Å.
Space group Immm (No. 71)
Asymmetric unit:
Tl 0.0000 0.0000 0.0000 [2 per cell]  4 Ni 2.68, 2 Tl 2.92
Zn 0.0000 0.5000 0.2044 [4 per cell]  2 Ni 2.59, 4 Zn 2.84
Ni 0.0000 0.0000 0.5000 [2 per cell]  4 Zn 2.59, 4 Tl 2.68

It is version three that is the most stable of them.

Version one
The following is a PBE-GGA calculation of TlZnNi after structural relaxation, from the Alexandria database.

Unit cell a=6.0714 b=6.0714 c=6.0714 alpha=90.00 beta=90.00 gamma=90.00
Last column: nearest neighbours and their distance in Å.
Space group F-43m (No. 216)
Asymmetric unit:
Tl 0.0000 0.0000 0.0000 [4 per cell]  4 Ni 2.63
Zn 0.0000 0.0000 0.5000 [4 per cell]  4 Ni 2.63
Ni 0.2500 0.2500 0.7500 [4 per cell]  4 Tl 2.63, 4 Zn 2.63

Version two
The following is a PBE-GGA calculation of TlZnNi after structural relaxation, from the Alexandria database.

Unit cell a=4.2477 b=4.2477 c=3.3903 alpha=90.00 beta=90.00 gamma=120.00
Last column: nearest neighbours and their distance in Å.
Space group P3m1 (No. 156)
Asymmetric unit:
Tl 0.0000 0.0000 0.0000 [1 per cell]  6 Ni 2.98-2.99, 6 Zn 2.98
Zn 0.6667 0.3333 0.5010 [1 per cell]  3 Ni 2.45
Ni 0.3333 0.6667 0.4974 [1 per cell]  3 Zn 2.45

It is version one that is the most stable of them.

Version one
The following is a PBE-GGA calculation of TlZnNi after structural relaxation, from the Alexandria database.

Unit cell a=4.6293 b=4.6366 c=9.6009 alpha=90.00 beta=90.00 gamma=90.00
Last column: nearest neighbours and their distance in Å.
Space group Fmm2 (No. 42)
Asymmetric unit:
Tl 0.0000 0.0000 0.0000 [4 per cell]  5 Zn 2.81-3.06, 5 Ni 2.94-2.97
Zn 0.0000 0.0000 0.2923 [4 per cell]  4 Ni 2.50
Ni 0.0000 0.0000 0.6941 [4 per cell]  4 Zn 2.50

Version two
The following is a PBE-GGA calculation of TlZnNi after structural relaxation, from the Alexandria database.

Unit cell a=6.1855 b=6.1855 c=6.1855 alpha=90.00 beta=90.00 gamma=90.00
Last column: nearest neighbours and their distance in Å.
Space group F-43m (No. 216)
Asymmetric unit:
Tl 0.0000 0.0000 0.0000 [4 per cell]  4 Ni 2.68, 4 Zn 2.68
Zn 0.2500 0.2500 0.2500 [4 per cell]  4 Tl 2.68
Ni 0.2500 0.2500 0.7500 [4 per cell]  4 Tl 2.68

It is version one that is the most stable of them.

Version one
The following is a PBE-GGA calculation of TlZnNi2 after structural relaxation, from the Alexandria database.

Unit cell a=9.3682 b=3.1411 c=4.2681 alpha=90.00 beta=109.28 gamma=90.00
Last column: nearest neighbours and their distance in Å.
Space group Cm (No. 8)
Asymmetric unit:
Tl 0.0000 0.0000 0.0000 [2 per cell]  7 Ni 2.64-2.74, 3 Zn 2.90-2.94
Zn 0.2285 0.0000 0.6545 [2 per cell]  7 Ni 2.60-2.74, 1 Tl 2.90
Ni 0.2542 0.5000 0.1900 [2 per cell]  4 Zn 2.60-2.72, 2 Ni 2.67, 3 Tl 2.68-2.74
Ni 0.4891 0.0000 0.4954 [2 per cell]  3 Zn 2.64-2.74, 4 Tl 2.64-2.66, 2 Ni 2.67

Version two
The following is a PBE-GGA calculation of TlZnNi2 after structural relaxation, from the Alexandria database.

Unit cell a=3.0258 b=3.0258 c=24.7422 alpha=90.00 beta=90.00 gamma=120.00
Last column: nearest neighbours and their distance in Å.
Space group R3m (No. 160, hexagonal axes)
Asymmetric unit:
Tl 0.0000 0.0000 0.0000 [3 per cell]  3 Ni 2.79, 6 Tl 3.03
Zn 0.0000 0.0000 0.7714 [3 per cell]  3 Ni 2.49
Ni 0.0000 0.0000 0.2454 [3 per cell]  3 Ni 2.44
Ni 0.0000 0.0000 0.5097 [3 per cell]  3 Ni 2.44, 3 Zn 2.49

Version three
The following is a PBE-GGA calculation of TlZnNi2 after structural relaxation, from the Alexandria database.

Unit cell a=3.9881 b=3.9881 c=17.1249 alpha=90.00 beta=90.00 gamma=90.00
Last column: nearest neighbours and their distance in Å.
Space group I-42d (No. 122)
Asymmetric unit:
Tl 0.0000 0.0000 0.0000 [4 per cell]  4 Ni 2.69, 4 Zn 2.82
Zn 0.0000 0.0000 0.5000 [4 per cell]  4 Ni 2.47
Ni 0.1782 0.2500 0.6250 [8 per cell]  2 Ni 2.45, 2 Zn 2.47, 2 Tl 2.69

Version four
The following is a PBE-GGA calculation of TlZnNi2 after structural relaxation, from the Alexandria database.

Unit cell a=6.1439 b=6.1439 c=6.1439 alpha=90.00 beta=90.00 gamma=90.00
Last column: nearest neighbours and their distance in Å.
Space group Fm-3m (No. 225)
Asymmetric unit:
Tl 0.0000 0.0000 0.0000 [4 per cell]  8 Ni 2.66
Zn 0.0000 0.0000 0.5000 [4 per cell]  8 Ni 2.66
Ni 0.2500 0.2500 0.2500 [8 per cell]  4 Tl 2.66, 4 Zn 2.66

It is version four that is the most stable of them.

Version one
The following is a PBE-GGA calculation of TlZnNi2 after structural relaxation, from the Alexandria database.

Unit cell a=2.9895 b=3.1415 c=6.2058 alpha=90.00 beta=90.00 gamma=90.00
Last column: nearest neighbours and their distance in Å.
Space group Pmmm (No. 47)
Asymmetric unit:
Tl 0.0000 0.0000 0.0000 [1 per cell]  8 Ni 2.80, 2 Tl 2.99, 2 Zn 3.10
Zn 0.0000 0.0000 0.5000 [1 per cell]  8 Ni 2.54
Ni 0.5000 0.5000 0.2865 [2 per cell]  4 Zn 2.54, 1 Ni 2.65, 4 Tl 2.80

Version two
The following is a PBE-GGA calculation of TlZnNi2 after structural relaxation, from the Alexandria database.

Unit cell a=3.0747 b=3.0747 c=6.5399 alpha=90.00 beta=90.00 gamma=90.00
Last column: nearest neighbours and their distance in Å.
Space group P4mm (No. 99)
Asymmetric unit:
Tl 0.0000 0.0000 0.0000 [1 per cell]  5 Ni 2.77-3.03, 4 Tl 3.07
Zn 0.5000 0.5000 0.3533 [1 per cell]  5 Ni 2.48-2.51
Ni 0.0000 0.0000 0.5371 [1 per cell]  4 Zn 2.48, 4 Ni 2.54
Ni 0.5000 0.5000 0.7373 [1 per cell]  1 Zn 2.51, 4 Ni 2.54, 4 Tl 2.77

It is version one that is the most stable of them.

Version one
The following is a PBE-GGA calculation of TlZnNi2 after structural relaxation, from the Alexandria database.

Unit cell a=3.0402 b=3.0402 c=23.2477 alpha=90.00 beta=90.00 gamma=120.00
Last column: nearest neighbours and their distance in Å.
Space group R-3m (No. 166, hexagonal axes)
Asymmetric unit:
Tl 0.0000 0.0000 0.0000 [3 per cell]  6 Ni 2.74, 6 Tl 3.04
Zn 0.0000 0.0000 0.5000 [3 per cell]  6 Ni 2.49
Ni 0.0000 0.0000 0.2429 [6 per cell]  3 Zn 2.49, 3 Tl 2.74

Version two
The following is a PBE-GGA calculation of TlZnNi2 after structural relaxation, from the Alexandria database.

Unit cell a=5.9190 b=5.8240 c=3.3753 alpha=90.00 beta=90.21 gamma=90.00
Last column: nearest neighbours and their distance in Å.
Space group C2/m (No. 12)
Asymmetric unit:
Tl 0.0000 0.0000 0.0000 [2 per cell]  8 Ni 2.67-2.68, 4 Zn 2.91-2.96
Zn 0.0000 0.5000 0.0000 [2 per cell]  8 Ni 2.67-2.68, 4 Tl 2.91-2.96
Ni 0.2500 0.2500 0.5000 [4 per cell]  4 Tl 2.67-2.68, 4 Zn 2.67-2.68, 4 Ni 2.91-2.96

Version three
The following is a PBE-GGA calculation of TlZnNi2 after structural relaxation, from the Alexandria database.

Unit cell a=6.1675 b=6.1675 c=6.1675 alpha=90.00 beta=90.00 gamma=90.00
Last column: nearest neighbours and their distance in Å.
Space group F-43m (No. 216)
Asymmetric unit:
Tl 0.0000 0.0000 0.0000 [4 per cell]  4 Ni 2.67, 4 Zn 2.67
Zn 0.2500 0.2500 0.2500 [4 per cell]  4 Tl 2.67, 4 Ni 2.67
Ni 0.0000 0.0000 0.5000 [4 per cell]  4 Zn 2.67, 4 Ni 2.67
Ni 0.2500 0.2500 0.7500 [4 per cell]  4 Ni 2.67, 4 Tl 2.67

It is version two that is the most stable of them.

Version one
The following is a PBE-GGA calculation of TlZn3Ni after structural relaxation, from the Alexandria database.

Unit cell a=4.6797 b=4.6797 c=4.6797 alpha=90.00 beta=90.00 gamma=90.00
Last column: nearest neighbours and their distance in Å.
Space group Pm-3m (No. 221)
Asymmetric unit:
Tl 0.0000 0.0000 0.0000 [1 per cell]  12 Zn 3.31
Zn 0.0000 0.5000 0.5000 [3 per cell]  2 Ni 2.34
Ni 0.5000 0.5000 0.5000 [1 per cell]  6 Zn 2.34

Version two
The following is a PBE-GGA calculation of TlZn3Ni after structural relaxation, from the Alexandria database.

Unit cell a=5.1202 b=5.1202 c=5.1202 alpha=90.00 beta=90.00 gamma=90.00
Last column: nearest neighbours and their distance in Å.
Space group Pm-3m (No. 221)
Asymmetric unit:
Tl 0.0000 0.0000 0.0000 [1 per cell]  6 Zn 2.56
Zn 0.0000 0.0000 0.5000 [3 per cell]  2 Tl 2.56
Ni 0.5000 0.5000 0.5000 [1 per cell]  12 Zn 3.62

It is version one that is the most stable of them.

Version one
The following is a PBE-GGA calculation of Tm4Ni after structural relaxation, from the Alexandria database.

Unit cell a=8.5843 b=8.5843 c=3.4620 alpha=90.00 beta=90.00 gamma=90.00
Last column: nearest neighbours and their distance in Å.
Space group I4/m (No. 87)
Asymmetric unit:
Tm 0.0730 0.2581 0.0000 [8 per cell]  2 Ni 2.88
Ni 0.0000 0.0000 0.5000 [2 per cell]  8 Tm 2.88

Version two
The following is a PBE-GGA calculation of Tm4Ni after structural relaxation, from the Alexandria database.

Unit cell a=10.4912 b=10.4912 c=10.4912 alpha=90.00 beta=90.00 gamma=90.00
Last column: nearest neighbours and their distance in Å.
Space group Fd-3m (No. 227, origin choice 2)
Asymmetric unit:
Tm 0.0122 0.0122 0.2378 [32 per cell]  1 Ni 2.49
Ni 0.1250 0.1250 0.6250 [8 per cell]  4 Tm 2.49

It is version one that is the most stable of them.

Version one
The following is a PBE-GGA calculation of Tm4Ni after structural relaxation, from the Alexandria database.

Unit cell a=8.3445 b=8.3445 c=7.7327 alpha=90.00 beta=90.00 gamma=90.00
Last column: nearest neighbours and their distance in Å.
Space group I-42d (No. 122)
Asymmetric unit:
Tm 0.0331 0.2022 0.3378 [16 per cell]  1 Ni 2.59
Ni 0.0000 0.0000 0.0000 [4 per cell]  4 Tm 2.59

Version two
The following is a PBE-GGA calculation of Tm4Ni after structural relaxation, from the Alexandria database.

Unit cell a=5.2229 b=5.2229 c=5.2229 alpha=90.00 beta=90.00 gamma=90.00
Last column: nearest neighbours and their distance in Å.
Space group Pm-3m (No. 221)
Asymmetric unit:
Tm 0.0000 0.0000 0.0000 [1 per cell]  12 Tm 3.69
Tm 0.0000 0.5000 0.5000 [3 per cell]  2 Ni 2.61
Ni 0.5000 0.5000 0.5000 [1 per cell]  6 Tm 2.61

It is version one that is the most stable of them.

Version one
The following is a PBE-GGA calculation of YTm2Ni after structural relaxation, from the Alexandria database.

Unit cell a=3.6124 b=11.9120 c=9.4216 alpha=90.00 beta=90.00 gamma=90.00
Last column: nearest neighbours and their distance in Å.
Space group Cmcm (No. 63)
Asymmetric unit:
Y 0.0000 0.0792 0.2500 [4 per cell]  2 Ni 2.85
Tm 0.0000 0.3623 0.0701 [8 per cell]  2 Ni 2.74
Ni 0.0000 0.2362 0.7500 [4 per cell]  4 Tm 2.74, 2 Y 2.85

Version two
The following is a PBE-GGA calculation of YTm2Ni after structural relaxation, from the Alexandria database.

Unit cell a=3.3976 b=3.3976 c=8.6305 alpha=90.00 beta=90.00 gamma=90.00
Last column: nearest neighbours and their distance in Å.
Space group P4/mmm (No. 123)
Asymmetric unit:
Y 0.0000 0.0000 0.0000 [1 per cell]  4 Y 3.40, 8 Tm 3.63
Tm 0.5000 0.5000 0.3150 [2 per cell]  4 Ni 2.88, 1 Tm 3.19
Ni 0.0000 0.0000 0.5000 [1 per cell]  8 Tm 2.88

Version three
The following is a PBE-GGA calculation of YTm2Ni after structural relaxation, from the Alexandria database.

Unit cell a=6.8040 b=9.4700 c=6.2732 alpha=90.00 beta=90.00 gamma=90.00
Last column: nearest neighbours and their distance in Å.
Space group Pnma (No. 62)
Asymmetric unit:
Y 0.0303 0.2500 0.1363 [4 per cell]  2 Ni 2.75-2.82
Tm 0.1780 0.0661 0.6785 [8 per cell]  2 Ni 2.72-2.80
Ni 0.1081 0.7500 0.4402 [4 per cell]  4 Tm 2.72-2.80, 2 Y 2.75-2.82

Version four
The following is a PBE-GGA calculation of YTm2Ni after structural relaxation, from the Alexandria database.

Unit cell a=3.7696 b=3.7696 c=26.3950 alpha=90.00 beta=90.00 gamma=120.00
Last column: nearest neighbours and their distance in Å.
Space group R3m (No. 160, hexagonal axes)
Asymmetric unit:
Y 0.0000 0.0000 0.0000 [3 per cell]  6 Tm 3.55-3.64, 6 Y 3.77
Tm 0.0000 0.0000 0.5562 [3 per cell]  3 Ni 2.68
Tm 0.0000 0.0000 0.7730 [3 per cell]  3 Ni 2.65
Ni 0.0000 0.0000 0.1639 [3 per cell]  6 Tm 2.65-2.68

It is version three that is the most stable of them.

Version one
The following is a PBE-GGA calculation of YTmNi2 after structural relaxation, from the Alexandria database.

Unit cell a=6.7240 b=6.7240 c=6.7240 alpha=90.00 beta=90.00 gamma=90.00
Last column: nearest neighbours and their distance in Å.
Space group Fm-3m (No. 225)
Asymmetric unit:
Y 0.0000 0.0000 0.0000 [4 per cell]  8 Ni 2.91
Tm 0.0000 0.0000 0.5000 [4 per cell]  8 Ni 2.91
Ni 0.2500 0.2500 0.2500 [8 per cell]  4 Tm 2.91, 4 Y 2.91

Version two
The following is a PBE-GGA calculation of YTmNi2 after structural relaxation, from the Alexandria database.

Unit cell a=4.1389 b=3.7499 c=10.1781 alpha=90.00 beta=90.00 gamma=90.00
Last column: nearest neighbours and their distance in Å.
Space group Amm2 (No. 38)
Asymmetric unit:
Y 0.0000 0.0000 0.0000 [2 per cell]  7 Ni 2.88-2.90
Tm 0.5000 0.0000 0.2799 [2 per cell]  7 Ni 2.83-2.97
Ni 0.0000 0.0000 0.7148 [2 per cell]  2 Ni 2.53
Ni 0.5000 0.0000 0.5719 [2 per cell]  2 Ni 2.53, 2 Tm 2.83

It is version two that is the most stable of them.